[1]
Entry from the Alexandria database: an optimized crystal structure of Rb2Tl3I5 (GGA-PBE).

For the total magnetic moment, the calculation gives 0.000 μB/atom. The uncorrected formation energy is -938 kJ/mol of formula units. For the total DFT energy (no corrections), the calculation gives -2.650 eV per atom. As for the density of states at the Fermi level: 0.0 states/eV per cell.

It has space group C2/m (No. 12), with a = 18.4101 Å, b = 4.9939 Å, c = 13.1152 Å, α = 90.00°, β = 126.08° and γ = 90.00°. The asymmetric unit holds Rb at (0.1659, 0.0000, 0.2656), Tl at (0.0000, 0.0000, 0.5000), Tl at (0.1139, 0.5000, 0.8682), I at (0.0000, 0.5000, 0.0000), I at (0.0997, 0.5000, 0.4190) and I at (0.2081, 0.0000, 0.8018).

---

[2]
Entry from the Alexandria database: an optimized crystal structure of Rb2TlI2 (GGA-PBE).

For the total magnetic moment, the calculation gives 0.000 μB/atom. The uncorrected formation energy is -412 kJ/mol of formula units. For the total DFT energy (no corrections), the calculation gives -2.335 eV per atom. As for the density of states at the Fermi level: 8.2 states/eV per cell.

It has space group P4/mbm (No. 127), with a = 10.4896 Å, b = 10.4896 Å, c = 4.2721 Å, α = 90.00°, β = 90.00° and γ = 90.00°. The asymmetric unit holds Rb at (0.1426, 0.3574, 0.0000), Tl at (0.0000, 0.0000, 0.0000) and I at (0.1544, 0.6544, 0.5000).

---

[3]
Entry from the Alexandria database: an optimized crystal structure of RbTl2I2 (GGA-PBE).

For the total magnetic moment, the calculation gives 0.000 μB/atom. The uncorrected formation energy is -295 kJ/mol of formula units. For the total DFT energy (no corrections), the calculation gives -2.371 eV per atom. As for the density of states at the Fermi level: 7.9 states/eV per cell.

It has space group I4/mmm (No. 139), with a = 6.5956 Å, b = 6.5956 Å, c = 10.8273 Å, α = 90.00°, β = 90.00° and γ = 90.00°. The asymmetric unit holds Rb at (0.0000, 0.0000, 0.0000), Tl at (0.0000, 0.0000, 0.3481) and I at (0.0000, 0.5000, 0.2500).

---

[4]
Entry from the Alexandria database: an optimized crystal structure of Rb3TlI (GGA-PBE).

For the total magnetic moment, the calculation gives 0.000 μB/atom. The uncorrected formation energy is -195 kJ/mol of formula units. For the total DFT energy (no corrections), the calculation gives -1.767 eV per atom. As for the density of states at the Fermi level: 5.2 states/eV per cell.

It has space group Pm-3m (No. 221), with a = 7.0168 Å, b = 7.0168 Å, c = 7.0168 Å, α = 90.00°, β = 90.00° and γ = 90.00°. The asymmetric unit holds Rb at (0.0000, 0.0000, 0.5000), Tl at (0.5000, 0.5000, 0.5000) and I at (0.0000, 0.0000, 0.0000).

---

[5]
Entry from the Alexandria database: an optimized crystal structure of RbTl4I5 (GGA-PBE).

For the total magnetic moment, the calculation gives 0.000 μB/atom. The uncorrected formation energy is -801 kJ/mol of formula units. For the total DFT energy (no corrections), the calculation gives -2.648 eV per atom. As for the density of states at the Fermi level: 0.0 states/eV per cell.

It has space group Immm (No. 71), with a = 5.0736 Å, b = 7.1708 Å, c = 25.3558 Å, α = 90.00°, β = 90.00° and γ = 90.00°. The asymmetric unit holds Rb at (0.0000, 0.0000, 0.0000), Tl at (0.0000, 0.0000, 0.2028), Tl at (0.0000, 0.0000, 0.3991), I at (0.0000, 0.5000, 0.0000), I at (0.0000, 0.5000, 0.1981) and I at (0.0000, 0.5000, 0.3946).

---

[6]
Entry from the Alexandria database: an optimized crystal structure of RbTl2I4 (GGA-PBE).

For the total magnetic moment, the calculation gives 0.000 μB/atom. The uncorrected formation energy is -462 kJ/mol of formula units. For the total DFT energy (no corrections), the calculation gives -2.384 eV per atom. As for the density of states at the Fermi level: 2.9 states/eV per cell.

It has space group P-42m (No. 111), with a = 8.0702 Å, b = 8.0702 Å, c = 7.1917 Å, α = 90.00°, β = 90.00° and γ = 90.00°. The asymmetric unit holds Rb at (0.0000, 0.0000, 0.0000), Tl at (0.0000, 0.5000, 0.5000) and I at (0.2550, 0.2550, 0.2981).

---

[7]
Entry from the Alexandria database: an optimized crystal structure of Rb2TlI (GGA-PBE).

For the total magnetic moment, the calculation gives 0.000 μB/atom. The uncorrected formation energy is -246 kJ/mol of formula units. For the total DFT energy (no corrections), the calculation gives -2.101 eV per atom. As for the density of states at the Fermi level: 2.1 states/eV per cell.

It has space group P4/mmm (No. 123), with a = 4.3208 Å, b = 4.3208 Å, c = 9.8767 Å, α = 90.00°, β = 90.00° and γ = 90.00°. The asymmetric unit holds Rb at (0.0000, 0.0000, 0.2270), Tl at (0.5000, 0.5000, 0.5000) and I at (0.5000, 0.5000, 0.0000).

---

[8]
Entry from the Alexandria database: an optimized crystal structure of Rb2TlI3 (GGA-PBE).

For the total magnetic moment, the calculation gives 0.000 μB/atom. The uncorrected formation energy is -705 kJ/mol of formula units. For the total DFT energy (no corrections), the calculation gives -2.709 eV per atom. As for the density of states at the Fermi level: 0.0 states/eV per cell.

It has space group C2/m (No. 12), with a = 9.0076 Å, b = 15.6127 Å, c = 9.0059 Å, α = 90.00°, β = 109.48° and γ = 90.00°. The asymmetric unit holds Rb at (0.0000, 0.0000, 0.0000), Rb at (0.0000, 0.1658, 0.5000), Rb at (0.0000, 0.5000, 0.5000), Tl at (0.0000, 0.3328, 0.0000), I at (0.2403, 0.5000, 0.2423) and I at (0.2492, 0.3297, 0.7584).